Entry 1:
Compound: SmBeGa
Source: the Open Quantum Materials Database
Functional: PBE-GGA
Structure: relaxed

The structure belongs to space group F-43m (No. 216); the cell edges are 6.204, 6.204 and 6.204 Å and the angles 90.00°, 90.00° and 90.00°. The inequivalent atoms are Sm at (0.000, 0.000, 0.000), Be at (0.250, 0.250, 0.750) and Ga at (0.000, 0.000, 0.500).

The total energy is -4.088 eV per atom. As for the energy relative to the lowest polymorph listed for this composition: 0 meV/atom.

Entry 2:
Compound: ZrAlOs
Source: the Open Quantum Materials Database
Functional: PBE-GGA
Structure: relaxed

The structure belongs to space group Pnma (No. 62); the cell edges are 6.370, 4.206 and 7.837 Å and the angles 90.00°, 90.00° and 90.00°. The inequivalent atoms are Zr at (0.036, 0.250, 0.172), Al at (0.141, 0.250, 0.550) and Os at (0.249, 0.250, 0.867).

The total energy is -8.364 eV per atom.

Entry 3:
Compound: TaNbCo6
Source: the Open Quantum Materials Database
Functional: PBE-GGA
Structure: relaxed

The structure belongs to space group Pmm2 (No. 25); the cell edges are 4.128, 5.149 and 4.555 Å and the angles 90.00°, 90.00° and 90.00°. The inequivalent atoms are Ta at (0.000, 0.000, 0.000), Nb at (0.500, 0.500, 0.698), Co at (0.000, 0.246, 0.505), Co at (0.000, 0.500, 0.044), Co at (0.500, 0.000, 0.655) and Co at (0.500, 0.253, 0.194).

For the energy relative to the elements, the calculation gives -141 meV per atom. The total energy is -8.214 eV per atom.

What did we get for ρ? Answer: 6.37 9.76 10.76 g/cm³, in the order shown.